(1)
CaDy3Tl4 | PBE | optimized geometry

Cell lengths 3.8206, 3.8206, 15.2038 Å; angles 90.00, 90.00, 90.00 degrees
Positions (direct):
Ca 0.5000 0.5000 0.0000
Tl 0.0000 0.0000 0.8692
Tl 0.0000 0.0000 0.1308
Tl 0.0000 0.0000 0.3778
Tl 0.0000 0.0000 0.6222
Dy 0.5000 0.5000 0.2526
Dy 0.5000 0.5000 0.5000
Dy 0.5000 0.5000 0.7474

Computed properties:
- Density: 10065 kg/m³
- Volume: 27.7 Å³/atom
- Spin magnetization: 0.0 Bohr magnetons per cell
- Final energy: -0.2594 Ry per atom

=====

(2)
CaDy5Tl6 | PBE | optimized geometry

Cell lengths 5.4032, 7.5355, 8.5594 Å; angles 90.00, 71.60, 90.00 degrees
Positions (direct):
Ca 0.0000 0.0000 0.0000
Tl 0.8326 0.7488 0.3348
Tl 0.8326 0.2512 0.3348
Tl 0.5000 0.2504 0.0000
Tl 0.5000 0.7496 0.0000
Tl 0.1674 0.7488 0.6652
Tl 0.1674 0.2512 0.6652
Dy 0.6655 0.5000 0.6690
Dy 0.3340 0.0000 0.3319
Dy 0.0000 0.5000 0.0000
Dy 0.6660 0.0000 0.6681
Dy 0.3345 0.5000 0.3310

Computed properties:
- Density: 10439 kg/m³
- Volume: 27.6 Å³/atom
- Spin magnetization: 0.0 Bohr magnetons per cell
- Final energy: -0.2660 Ry per atom

=====

(3)
Ca4DyTl5 | PBE | optimized geometry

Cell lengths 3.8737, 3.8737, 19.2646 Å; angles 90.00, 90.00, 90.00 degrees
Positions (direct):
Ca 0.0000 0.0000 0.1984
Ca 0.0000 0.0000 0.3987
Ca 0.0000 0.0000 0.6013
Ca 0.0000 0.0000 0.8016
Dy 0.0000 0.0000 0.0000
Tl 0.5000 0.5000 0.0958
Tl 0.5000 0.5000 0.2986
Tl 0.5000 0.5000 0.5000
Tl 0.5000 0.5000 0.7014
Tl 0.5000 0.5000 0.9042

Computed properties:
- Density: 7725 kg/m³
- Volume: 28.9 Å³/atom
- Spin magnetization: 0.0 Bohr magnetons per cell
- Final energy: -0.2106 Ry per atom

=====

(4)
CaDy5Tl3 | PBE | optimized geometry

Cell lengths 6.7801, 9.3693, 9.3691 Å; angles 120.00, 90.00, 90.00 degrees
Positions (direct):
Ca 0.0000 0.0000 0.0000
Ca 0.5000 0.0000 0.0000
Dy 0.0000 0.6667 0.3334
Dy 0.5000 0.3333 0.6666
Dy 0.0000 0.3333 0.6666
Dy 0.5000 0.6667 0.3334
Dy 0.7500 0.6638 0.6638
Dy 0.7500 0.0000 0.3362
Dy 0.7500 0.3362 0.0000
Dy 0.2500 0.3362 0.3362
Dy 0.2500 0.0000 0.6638
Dy 0.2500 0.6638 0.0000
Tl 0.7500 0.3318 0.3318
Tl 0.7500 0.0000 0.6682
Tl 0.7500 0.6682 0.0000
Tl 0.2500 0.6682 0.6682
Tl 0.2500 0.0000 0.3318
Tl 0.2500 0.3318 0.0000

Computed properties:
- Density: 9444 kg/m³
- Volume: 28.6 Å³/atom
- Spin magnetization: 0.0 Bohr magnetons per cell
- Final energy: -0.2829 Ry per atom

=====

(5)
Ca4DyTl2 | PBE | optimized geometry

Cell lengths 5.4634, 5.4634, 10.6625 Å; angles 75.16, 75.16, 60.00 degrees
Positions (direct):
Ca 0.7050 0.7050 0.8850
Ca 0.8974 0.8974 0.3077
Ca 0.2950 0.2950 0.1150
Ca 0.1026 0.1026 0.6923
Dy 0.5000 0.5000 0.5000
Tl 0.5985 0.5985 0.2046
Tl 0.4015 0.4015 0.7954

Computed properties:
- Density: 4614 kg/m³
- Volume: 37.6 Å³/atom
- Spin magnetization: 0.0 Bohr magnetons per cell
- Final energy: -0.1853 Ry per atom

=====

(6)
CaDy7Tl4 | PBE | optimized geometry

Cell lengths 5.7961, 9.1500, 7.9989 Å; angles 70.05, 68.76, 71.54 degrees
Positions (direct):
Ca 0.0000 0.0000 0.0000
Dy 0.7909 0.8787 0.5396
Dy 0.2091 0.1213 0.4604
Dy 0.0681 0.5896 0.2743
Dy 0.9319 0.4104 0.7257
Dy 0.2611 0.6882 0.7896
Dy 0.5000 0.0000 0.0000
Dy 0.7389 0.3118 0.2104
Tl 0.5491 0.2830 0.6189
Tl 0.4509 0.7170 0.3811
Tl 0.6841 0.6641 0.9676
Tl 0.3159 0.3359 0.0324

Computed properties:
- Density: 9138 kg/m³
- Volume: 30.2 Å³/atom
- Spin magnetization: 0.0 Bohr magnetons per cell
- Final energy: -0.2672 Ry per atom

=====

(7)
CaDy8Tl6 | PBE | optimized geometry

Cell lengths 9.1817, 9.1817, 8.3294 Å; angles 56.55, 56.55, 60.00 degrees
Positions (direct):
Ca 0.0000 0.0000 0.0000
Dy 0.5624 0.2226 0.3227
Dy 0.7774 0.1077 0.6773
Dy 0.1077 0.4376 0.6773
Dy 0.6669 0.6669 0.9992
Dy 0.3331 0.3331 0.0008
Dy 0.8923 0.5624 0.3227
Dy 0.2226 0.8923 0.3227
Dy 0.4376 0.7774 0.6773
Tl 0.4015 0.0644 0.8069
Tl 0.9356 0.2729 0.1931
Tl 0.2729 0.5985 0.1931
Tl 0.7271 0.4015 0.8069
Tl 0.0644 0.7271 0.8069
Tl 0.5985 0.9356 0.1931

Computed properties:
- Density: 9085 kg/m³
- Volume: 31.3 Å³/atom
- Spin magnetization: 0.0 Bohr magnetons per cell
- Final energy: -0.2704 Ry per atom

=====

(8)
Ca3DyTl2 | PBE | optimized geometry

Cell lengths 5.3090, 7.1495, 9.8163 Å; angles 90.00, 90.00, 90.00 degrees
Positions (direct):
Ca 0.0000 0.4692 0.9470
Ca 0.0000 0.9692 0.0530
Ca 0.5000 0.6736 0.1811
Ca 0.5000 0.1736 0.8189
Ca 0.0000 0.3296 0.3156
Ca 0.0000 0.8296 0.6844
Dy 0.5000 0.5287 0.5498
Dy 0.5000 0.0287 0.4502
Tl 0.5000 0.7159 0.8512
Tl 0.5000 0.2159 0.1488
Tl 0.0000 0.2829 0.6336
Tl 0.0000 0.7829 0.3664

Computed properties:
- Density: 6164 kg/m³
- Volume: 31.0 Å³/atom
- Spin magnetization: 0.0 Bohr magnetons per cell
- Final energy: -0.2115 Ry per atom